[1]
Computed, not measured: TaFe2Pt after structural relaxation at the GGA-PBE level of DFT.

Lattice parameters (Å, degrees): 2.7909 4.7480 5.4197 53.05 90.00 90.00
Site moments in Bohr magnetons follow the coordinates.
Atoms (fractional coordinates):
1 Pt 0.5000 0.5000 0.5000  0.09
2 Ta 0.0000 0.0000 0.5000  -0.34
3 Fe 0.5000 0.5000 0.0000  1.91
4 Fe 0.0000 0.0000 0.0000  2.49

Computed properties:
* polymorph energy (0 for the lowest one): 0.82 eV per formula unit


[2]
Computed, not measured: Ta2FePt4 after structural relaxation at the GGA-PBE level of DFT.

Lattice parameters (Å, degrees): 4.6266 4.6266 7.2366 71.36 71.36 90.00
Site moments in Bohr magnetons follow the coordinates.
Atoms (fractional coordinates):
1 Ta 0.6174 0.6174 0.7651  -0.01
2 Ta 0.3826 0.3826 0.2349  -0.01
3 Pt 0.1943 0.1943 0.6115  0.02
4 Pt 0.0000 0.5000 0.0000  0.15
5 Pt 0.5000 0.0000 0.0000  0.15
6 Pt 0.8057 0.8057 0.3885  0.02
7 Fe 0.0000 0.0000 0.0000  2.71


[3]
Computed, not measured: TaFePt after structural relaxation at the GGA-PBE level of DFT.

Lattice parameters (Å, degrees): 2.8702 2.8726 11.2520 75.26 90.02 90.01
Site moments in Bohr magnetons follow the coordinates.
Atoms (fractional coordinates):
1 Pt 0.7163 0.0555 0.5062  -0.01
2 Pt 0.2161 0.3606 0.7009  -0.01
3 Ta 0.2161 0.7334 0.3279  -0.05
4 Ta 0.7163 0.6827 0.8792  -0.05
5 Fe 0.7161 0.3974 0.1641  2.05
6 Fe 0.2162 0.0187 0.0431  2.05

Computed properties:
* polymorph energy (0 for the lowest one): 0.05 eV per formula unit


Number 1: energy relative to the elements -12 kJ per mole of atoms. Number 2: energy relative to the elements 53 kJ per mole of atoms. Number 3: energy relative to the elements -31 kJ per mole of atoms.